[1]
# PBE Co3SbRu, optimized geometry
# Offset from the most stable computed form (eV per atom): 0.000
# SG: Pm-3m (221)
data_Co3SbRu
_chemical_formula_sum 'Co3 Sb1 Ru1'
_cell_length_a 4.509
_cell_length_b 4.509
_cell_length_c 4.509
_cell_angle_alpha 90.00
_cell_angle_beta 90.00
_cell_angle_gamma 90.00
_space_group_name_H-M_alt 'P 1'
_space_group_IT_number 1
_space_group_name_Hall 'P 1'
loop_
_atom_site_label
_atom_site_type_symbol
_atom_site_fract_x
_atom_site_fract_y
_atom_site_fract_z
_atom_site_occupancy
Co1 Co 0.000 0.500 0.000 1
Co2 Co 0.000 0.000 0.500 1
Co3 Co 0.500 0.000 0.000 1
Sb1 Sb 0.500 0.500 0.500 1
Ru1 Ru 0.000 0.000 0.000 1

=====

[2]
# PBE NpGaSe4, optimized geometry
# SG: Cmcm (63)
data_NpGaSe4
_chemical_formula_sum 'Np2 Ga2 Se8'
_cell_length_a 6.016
_cell_length_b 6.016
_cell_length_c 9.108
_cell_angle_alpha 90.00
_cell_angle_beta 90.00
_cell_angle_gamma 103.33
_space_group_name_H-M_alt 'P 1'
_space_group_IT_number 1
_space_group_name_Hall 'P 1'
loop_
_atom_site_label
_atom_site_type_symbol
_atom_site_fract_x
_atom_site_fract_y
_atom_site_fract_z
_atom_site_occupancy
Se1 Se 0.698 0.698 0.942 1
Se2 Se 0.302 0.302 0.058 1
Se3 Se 0.900 0.319 0.750 1
Se4 Se 0.100 0.681 0.250 1
Se5 Se 0.681 0.100 0.250 1
Se6 Se 0.302 0.302 0.442 1
Se7 Se 0.319 0.900 0.750 1
Se8 Se 0.698 0.698 0.558 1
Np1 Np 0.616 0.616 0.250 1
Np2 Np 0.384 0.384 0.750 1
Ga1 Ga 0.074 0.074 0.250 1
Ga2 Ga 0.926 0.926 0.750 1

=====

[3]
# PBE NiAg2Ir, optimized geometry
# Offset from the most stable computed form (eV per atom): 0.191
# SG: Cmmm (65)
data_NiAg2Ir
_chemical_formula_sum 'Ni1 Ag2 Ir1'
_cell_length_a 2.721
_cell_length_b 2.721
_cell_length_c 9.466
_cell_angle_alpha 90.00
_cell_angle_beta 90.00
_cell_angle_gamma 118.05
_space_group_name_H-M_alt 'P 1'
_space_group_IT_number 1
_space_group_name_Hall 'P 1'
loop_
_atom_site_label
_atom_site_type_symbol
_atom_site_fract_x
_atom_site_fract_y
_atom_site_fract_z
_atom_site_occupancy
Ni1 Ni 0.500 0.500 0.750 1
Ag1 Ag 0.000 0.000 0.512 1
Ag2 Ag 0.000 0.000 0.988 1
Ir1 Ir 0.500 0.500 0.250 1

=====

Number 1: E_tot -5.691 eV per atom. Number 2: E_tot -5.575 eV per atom. Number 3: E_tot -4.692 eV per atom.